Density functional theory data (GGA-PBE) for a relaxed LaTbGaN3 crystal.

Cell lengths 7.463, 3.498, 7.651 Å; angles 90.00, 98.38, 90.00 degrees
Space group P2_1/m (No. 11)
Unique sites:
La (0.180, 0.250, 0.187) (multiplicity 2)
Tb (0.361, 0.750, 0.842) (multiplicity 2)
Ga (0.101, 0.250, 0.607) (multiplicity 2)
N (0.133, 0.250, 0.861) (multiplicity 2)
N (0.165, 0.750, 0.501) (multiplicity 2)
N (0.404, 0.750, 0.142) (multiplicity 2)

The value obtained for the total magnetization is 0.0 μB/cell. The calculation puts the calculated density at 6.88 g/cm3. Its total energy is -87.059 eV/cell. The energy relative to the elements, uncorrected comes out at -0.995 eV per atom.